## SmTmThSc (PBE-GGA)

Data for crystalline SmTmThSc at its relaxed geometry.

E = -5.637 eV per atom

Geometry as extended XYZ:
```
4
Lattice="-0.7220 -5.2156 1.7544 -0.3751 -4.1385 -3.6789 4.1273 -3.6811 -0.4663" Properties=species:S:1:pos:R:3 pbc="T T T"
Sc 0.7575 -3.2588 -0.5977
Th 1.5151 -6.5176 -1.1954
Tm 2.2726 -9.7763 -1.7930
Sm 0.0000 0.0000 0.0000
```